VASP calculation (GGA-PBE) on K2FeMo after structural relaxation.

```
data_K2FeMo
_chemical_formula_sum 'K8 Fe4 Mo4'
_cell_length_a 7.6467
_cell_length_b 7.6467
_cell_length_c 7.6467
_cell_angle_alpha 90.00
_cell_angle_beta 90.00
_cell_angle_gamma 90.00
_space_group_name_H-M_alt 'F -4 3 m'
_space_group_IT_number 216
_space_group_name_Hall 'F -4 2 3'
loop_
_atom_site_label
_atom_site_type_symbol
_atom_site_fract_x
_atom_site_fract_y
_atom_site_fract_z
K1 K 0.0000 0.0000 0.0000
K2 K 0.2500 0.2500 0.2500
Fe1 Fe 0.0000 0.0000 0.5000
Mo1 Mo 0.2500 0.2500 0.7500
```

Results
Magnetic moment: 1.25 μB/f.u.
Distance to the lowest polymorph of the same formula: 822 meV/atom
Calculated volume: 27.95 Å³/atom
Electronic total energy: -3.697 eV/atom
Formation energy: 1.676 eV/atom

VASP calculation (GGA-PBE) on V2CoGe after structural relaxation.

```
data_V2CoGe
_chemical_formula_sum 'V8 Co4 Ge4'
_cell_length_a 6.6288
_cell_length_b 6.6288
_cell_length_c 5.0328
_cell_angle_alpha 90.00
_cell_angle_beta 90.00
_cell_angle_gamma 90.00
_space_group_name_H-M_alt 'I -4 2 d'
_space_group_IT_number 122
_space_group_name_Hall 'I -4 2bw'
loop_
_atom_site_label
_atom_site_type_symbol
_atom_site_fract_x
_atom_site_fract_y
_atom_site_fract_z
V1 V 0.2203 0.2500 0.1250
Co1 Co 0.0000 0.0000 0.0000
Ge1 Ge 0.0000 0.0000 0.5000
```

Results
Magnetic moment: 0.00 μB/f.u.
Calculated volume: 13.82 Å³/atom
Electronic total energy: -7.312 eV/atom
Formation energy: 0.178 eV/atom

VASP calculation (GGA-PBE) on Be3NbPt after structural relaxation.

```
data_Be3NbPt
_chemical_formula_sum 'Be12 Nb4 Pt4'
_cell_length_a 4.2893
_cell_length_b 6.5321
_cell_length_c 8.4638
_cell_angle_alpha 90.00
_cell_angle_beta 90.00
_cell_angle_gamma 90.00
_space_group_name_H-M_alt 'C m c m'
_space_group_IT_number 63
_space_group_name_Hall '-C 2c 2'
loop_
_atom_site_label
_atom_site_type_symbol
_atom_site_fract_x
_atom_site_fract_y
_atom_site_fract_z
Be1 Be 0.0000 0.0732 0.2500
Be2 Be 0.0000 0.3442 0.0771
Nb1 Nb 0.0000 0.3179 0.7500
Pt1 Pt 0.0000 0.0000 0.0000
```

Results
Magnetic moment: 0.00 μB/f.u.
Distance to the lowest polymorph of the same formula: 0 meV/atom
Calculated volume: 11.86 Å³/atom
Electronic total energy: -5.740 eV/atom
Formation energy: -0.282 eV/atom

VASP calculation (GGA-PBE) on TbBe4SiIr2 after structural relaxation.

```
data_TbBe4SiIr2
_chemical_formula_sum 'Tb3 Be12 Si3 Ir6'
_cell_length_a 3.9243
_cell_length_b 3.9243
_cell_length_c 23.9058
_cell_angle_alpha 90.00
_cell_angle_beta 90.00
_cell_angle_gamma 120.00
_space_group_name_H-M_alt 'R -3 m'
_space_group_IT_number 166
_space_group_name_Hall '-R 3 2"'
loop_
_atom_site_label
_atom_site_type_symbol
_atom_site_fract_x
_atom_site_fract_y
_atom_site_fract_z
Tb1 Tb 0.0000 0.0000 0.0000
Be1 Be 0.0000 0.0000 0.1228
Be2 Be 0.0000 0.0000 0.4077
Si1 Si 0.0000 0.0000 0.5000
Ir1 Ir 0.0000 0.0000 0.2272
```

Results
Magnetic moment: 0.00 μB/f.u.
Raw formation energy: -333 meV per atom
Calculated volume: 13.28 Å³/atom
Electronic total energy: -5.668 eV/atom

Q: Which formula does entry 1 have?
A: K2FeMo

Q: Look up the calculated volume of the first one.
A: 27.95 Å³/atom